Below is a geometry-optimized NaGaHgBr4 structure, with properties calculated at the PBE level.

Cell lengths 8.0172, 8.0172, 10.4279 Å; angles 71.29, 71.29, 58.36 degrees
With the nearest neighbours (Å) after each atom.
Element x y z (fractional)
Na1 0.3273 0.3273 0.8974  5 Br 2.92-3.12
Na2 0.6727 0.6727 0.1026  5 Br 2.92-3.12
Ga1 0.6764 0.6764 0.7253  4 Br 2.31-2.42
Ga2 0.3236 0.3236 0.2747  4 Br 2.31-2.42
Hg1 0.0508 0.0508 0.2035  8 Br 3.70-4.14, 1 Na 4.01
Hg2 0.9492 0.9492 0.7965  8 Br 3.70-4.14, 1 Na 4.01
Br1 0.1771 0.1771 0.4715  1 Ga 2.31
Br2 0.8229 0.8229 0.5285  1 Ga 2.31
Br3 0.0962 0.5733 0.1225  1 Ga 2.42
Br4 0.4736 0.4736 0.3292  1 Ga 2.37
Br5 0.4267 0.9038 0.8775  1 Ga 2.42
Br6 0.5733 0.0962 0.1225  1 Ga 2.42
Br7 0.5264 0.5264 0.6708  1 Ga 2.37
Br8 0.9038 0.4267 0.8775  1 Ga 2.42

## Properties
SG: C2/m (12)
V, Å³ per cell: 531
Energy relative to the elements, uncorrected, kJ/mol of atoms: -86.4
Density, g/cm³: 3.84
E_tot, eV per atom: -2.5153